Entry from Alexandria via LeMat-Bulk: a relaxed ScPaNbOs crystal (PBE).

Values from the calculation:
space group	F-43m
total magnetic moment	0.000	μB per formula unit
crystal system	cubic
formation energy from the elements	-162.6	meV per atom

Geometry as POSCAR:
```
ScPaNbOs
1.0
0.000 3.385 3.385
3.385 0.000 3.385
3.385 3.385 0.000
Sc Pa Nb Os
1 1 1 1
Direct
0.000 0.000 0.000 Sc
0.500 0.500 0.500 Pa
0.750 0.750 0.750 Nb
0.250 0.250 0.250 Os
```


Entry from Alexandria via LeMat-Bulk: a relaxed PrSmGe4 crystal (PBE).

Values from the calculation:
space group	Pbam
total magnetic moment	0.000	μB per formula unit
crystal system	orthorhombic
formation energy from the elements	-585.9	meV per atom

Geometry as POSCAR:
```
PrSmGe4
1.0
7.553 0.000 0.000
0.000 17.876 0.000
0.000 0.000 4.148
Pr Sm Ge
4 4 16
Direct
0.183 0.189 0.000 Pr
0.317 0.689 0.000 Pr
0.683 0.311 0.000 Pr
0.817 0.811 0.000 Pr
0.237 0.448 0.000 Sm
0.263 0.948 0.000 Sm
0.737 0.052 0.000 Sm
0.763 0.552 0.000 Sm
0.003 0.705 0.500 Ge
0.075 0.063 0.500 Ge
0.082 0.564 0.500 Ge
0.170 0.827 0.500 Ge
0.330 0.327 0.500 Ge
0.418 0.064 0.500 Ge
0.425 0.563 0.500 Ge
0.497 0.205 0.500 Ge
0.503 0.795 0.500 Ge
0.575 0.437 0.500 Ge
0.582 0.936 0.500 Ge
0.670 0.673 0.500 Ge
0.830 0.173 0.500 Ge
0.918 0.436 0.500 Ge
0.925 0.937 0.500 Ge
0.997 0.295 0.500 Ge
```


Entry from Alexandria via LeMat-Bulk: a relaxed LaLuTlAg crystal (PBE).

Values from the calculation:
space group	F-43m
total magnetic moment	0.002	μB per formula unit
crystal system	cubic
formation energy from the elements	-312.6	meV per atom

Geometry as POSCAR:
```
LaLuTlAg
1.0
0.000 3.799 3.799
3.799 0.000 3.799
3.799 3.799 0.000
La Lu Tl Ag
1 1 1 1
Direct
0.000 0.000 0.000 La
0.500 0.500 0.500 Lu
0.250 0.250 0.250 Tl
0.750 0.750 0.750 Ag
```


Entry from Alexandria via LeMat-Bulk: a relaxed FeAsRu crystal (PBE).

Values from the calculation:
space group	F-43m
total magnetic moment	2.845	μB per formula unit
crystal system	cubic
formation energy from the elements	-1.7	meV per atom

Geometry as POSCAR:
```
FeAsRu
1.0
0.000 2.883 2.883
2.883 0.000 2.883
2.883 2.883 0.000
Fe As Ru
1 1 1
Direct
0.000 0.000 0.000 Fe
0.500 0.500 0.500 As
0.250 0.250 0.250 Ru
```


Entry from Alexandria via LeMat-Bulk: a relaxed TeBr5 crystal (PBE).

Values from the calculation:
space group	P6/mmm
total magnetic moment	0.000	μB per formula unit
crystal system	hexagonal
ΔE_f (raw)	1.657	eV per formula unit

Geometry as POSCAR:
```
TeBr5
1.0
5.506 0.000 0.000
-2.753 4.769 0.000
0.000 0.000 8.730
Te Br
1 5
Direct
0.000 0.000 0.000 Te
0.000 0.500 0.500 Br
0.333 0.667 0.000 Br
0.500 0.000 0.500 Br
0.500 0.500 0.500 Br
0.667 0.333 0.000 Br
```


Entry from Alexandria via LeMat-Bulk: a relaxed Cs2KP2 crystal (PBE).

Values from the calculation:
space group	C2/c
total magnetic moment	1.025	μB per formula unit
crystal system	monoclinic
formation energy from the elements	-288.2	meV per atom

Geometry as POSCAR:
```
Cs2KP2
1.0
5.873 -3.689 0.000
5.873 3.689 0.000
-1.702 0.000 9.079
Cs K P
4 2 4
Direct
0.007 0.287 0.137 Cs
0.287 0.007 0.637 Cs
0.713 0.993 0.363 Cs
0.993 0.713 0.863 Cs
0.432 0.568 0.250 K
0.568 0.432 0.750 K
0.148 0.513 0.491 P
0.487 0.852 0.009 P
0.513 0.148 0.991 P
0.852 0.487 0.509 P
```


Entry from Alexandria via LeMat-Bulk: a relaxed ZrAgOs crystal (PBE).

Values from the calculation:
space group	P3m1
total magnetic moment	0.000	μB per formula unit
crystal system	trigonal
formation energy from the elements	136.8	meV per atom

Geometry as POSCAR:
```
ZrAgOs
1.0
4.698 0.000 0.000
-2.349 4.068 0.000
0.000 0.000 2.762
Zr Ag Os
1 1 1
Direct
0.000 0.000 0.000 Zr
0.667 0.333 0.363 Ag
0.333 0.667 0.689 Os
```


Entry from Alexandria via LeMat-Bulk: a relaxed Li5CaAg2 crystal (PBE).

Values from the calculation:
space group	Immm
total magnetic moment	0.000	μB per formula unit
crystal system	orthorhombic
formation energy from the elements	-132.6	meV per atom

Geometry as POSCAR:
```
Li5CaAg2
1.0
-2.110 4.082 4.974
2.110 -4.082 4.974
2.110 4.082 -4.974
Li Ca Ag
5 1 2
Direct
0.000 0.000 0.000 Li
0.022 0.340 0.682 Li
0.341 0.660 0.682 Li
0.659 0.340 0.318 Li
0.978 0.660 0.318 Li
0.500 0.000 0.500 Ca
0.265 0.265 0.000 Ag
0.735 0.735 0.000 Ag
```


Entry from Alexandria via LeMat-Bulk: a relaxed Sc4PCl5 crystal (PBE).

Values from the calculation:
space group	C2/m
total magnetic moment	0.000	μB per formula unit
crystal system	monoclinic
ΔE_f (raw)	-17.766	eV per formula unit

Geometry as POSCAR:
```
Sc4PCl5
1.0
8.213 -1.847 0.000
8.213 1.847 0.000
-1.676 0.000 7.349
Sc P Cl
4 1 5
Direct
0.001 0.001 0.224 Sc
0.349 0.349 0.917 Sc
0.651 0.651 0.083 Sc
0.999 0.999 0.776 Sc
0.500 0.500 0.000 P
0.165 0.165 0.327 Cl
0.173 0.173 0.845 Cl
0.500 0.500 0.500 Cl
0.827 0.827 0.155 Cl
0.835 0.835 0.673 Cl
```


Entry from Alexandria via LeMat-Bulk: a relaxed FeGe3N crystal (PBE).

Values from the calculation:
space group	Pm-3m
total magnetic moment	2.668	μB per formula unit
crystal system	cubic
ΔE_f (raw)	4.174	eV per formula unit

Geometry as POSCAR:
```
FeGe3N
1.0
4.273 0.000 0.000
0.000 4.273 0.000
0.000 0.000 4.273
Fe Ge N
1 3 1
Direct
0.000 0.000 0.000 Fe
0.000 0.500 0.500 Ge
0.500 0.000 0.500 Ge
0.500 0.500 0.000 Ge
0.500 0.500 0.500 N
```


Entry from Alexandria via LeMat-Bulk: a relaxed SrCaFe2 crystal (PBE).

Values from the calculation:
space group	P4/mmm
total magnetic moment	4.763	μB per formula unit
crystal system	tetragonal
formation energy from the elements	772.5	meV per atom

Geometry as POSCAR:
```
SrCaFe2
1.0
4.997 0.000 0.000
0.000 4.997 0.000
0.000 0.000 3.897
Sr Ca Fe
1 1 2
Direct
0.000 0.000 0.000 Sr
0.500 0.500 0.000 Ca
0.000 0.500 0.500 Fe
0.500 0.000 0.500 Fe
```


Entry from Alexandria via LeMat-Bulk: a relaxed HoScTlTc crystal (PBE).

Values from the calculation:
space group	F-43m
total magnetic moment	0.000	μB per formula unit
crystal system	cubic
formation energy from the elements	-101.6	meV per atom

Geometry as POSCAR:
```
HoScTlTc
1.0
0.000 3.496 3.496
3.496 0.000 3.496
3.496 3.496 0.000
Ho Sc Tl Tc
1 1 1 1
Direct
0.000 0.000 0.000 Ho
0.500 0.500 0.500 Sc
0.750 0.750 0.750 Tl
0.250 0.250 0.250 Tc
```